[1]
Material: GePBr2
Method: DFT, GGA-PBEsol
State: optimized geometry

Cell: 3.3610 3.3610 9.4907 Å, 79.80 79.80 60.00°
Positions (direct):
Br (0.9116, 0.9116, 0.2651)
Br (0.0884, 0.0884, 0.7349)
Ge (0.5000, 0.5000, 0.5000)
P (0.0000, 0.0000, 0.0000)

Output
As for the crystal system: trigonal. Its formation energy (no corrections) is 0.3188 eV/atom.

***

[2]
Material: Sb5Pb
Method: DFT, GGA-PBEsol
State: optimized geometry

Cell: 3.7887 3.7887 11.2442 Å, 90.00 90.00 90.00°
Positions (direct):
Sb (0.0000, 0.0000, 0.5000)
Sb (0.0000, 0.0000, 0.8155)
Sb (0.0000, 0.0000, 0.1845)
Sb (0.5000, 0.5000, 0.6682)
Sb (0.5000, 0.5000, 0.3318)
Pb (0.5000, 0.5000, 0.0000)

Output
As for the crystal system: tetragonal. Its formation energy (no corrections) is 0.1363 eV/atom.

***

[3]
Material: TcHgSe
Method: DFT, GGA-PBEsol
State: optimized geometry

Cell: 3.0137 3.0137 6.4911 Å, 103.42 103.42 90.00°
Positions (direct):
Hg (0.9774, 0.9774, 0.9548)
Tc (0.3149, 0.3149, 0.6299)
Se (0.7076, 0.7076, 0.4153)

Output
As for the crystal system: tetragonal. Its formation energy (no corrections) is 0.0333 eV/atom.

***

[4]
Material: Y2PW
Method: DFT, GGA-PBEsol
State: optimized geometry

Cell: 4.8493 4.8488 4.8502 Å, 119.99 119.99 90.00°
Positions (direct):
P (0.0000, 0.5000, 0.0000)
W (0.5000, 0.0000, 0.0000)
Y (0.2500, 0.2500, 0.5000)
Y (0.7500, 0.7500, 0.5000)

Output
As for the crystal system: cubic. For the energy of formation from the pure elements, the calculation gives 0.0930 eV per atom.

***

[5]
Material: LiLaRe
Method: DFT, GGA-PBEsol
State: optimized geometry

Cell: 3.5195 3.5195 5.1495 Å, 109.98 109.98 90.00°
Positions (direct):
La (0.0002, 0.0002, 0.0003)
Re (0.3113, 0.3113, 0.6226)
Li (0.6885, 0.6885, 0.3770)

Output
As for the crystal system: tetragonal. For the energy of formation from the pure elements, the calculation gives 0.6141 eV per atom.

***

[6]
Material: CsGaNF2
Method: DFT, GGA-PBEsol
State: optimized geometry

Cell: 4.5318 5.1587 5.1587 Å, 90.00 90.00 90.00°
Each line ends with the local moment (μB).
Positions (direct):
F (0.0000, 0.0000, 0.5000)  0.08
F (0.0000, 0.5000, 0.0000)  0.08
N (0.5000, 0.0000, 0.0000)  0.89
Ga (0.5000, 0.5000, 0.5000)  0.01
Cs (0.0000, 0.0000, 0.0000)  0.12

Output
As for the crystal system: tetragonal. Its formation energy (no corrections) is 0.0790 eV/atom.

***

[7]
Material: CoTePb
Method: DFT, GGA-PBEsol
State: optimized geometry

Cell: 4.5128 4.5128 4.5128 Å, 60.00 60.00 60.00°
Each line ends with the local moment (μB).
Positions (direct):
Te (0.5000, 0.5000, 0.5000)  0.01
Pb (0.0000, 0.0000, 0.0000)  -0.01
Co (0.2500, 0.2500, 0.2500)  0.30

Output
As for the crystal system: cubic. Its formation energy (no corrections) is 0.1601 eV/atom.

***

[8]
Material: MgTeCl2
Method: DFT, GGA-PBEsol
State: optimized geometry

Cell: 4.9966 4.9966 4.9966 Å, 60.00 60.00 60.00°
Positions (direct):
Te (0.2500, 0.2500, 0.2500)
Cl (0.0000, 0.0000, 0.0000)
Cl (0.7500, 0.7500, 0.7500)
Mg (0.5000, 0.5000, 0.5000)

Output
As for the crystal system: cubic. Its formation energy (no corrections) is -0.2957 eV/atom.

***

[9]
Material: Cr2NiRh
Method: DFT, GGA-PBEsol
State: optimized geometry

Cell: 2.5548 4.0505 4.4762 Å, 90.00 90.00 90.00°
Positions (direct):
Ni (0.5000, 0.0000, 0.5534)
Cr (0.0000, 0.0000, 0.0303)
Cr (0.0000, 0.5000, 0.7060)
Rh (0.5000, 0.5000, 0.2102)

Output
As for the crystal system: orthorhombic. For the energy of formation from the pure elements, the calculation gives -0.0127 eV per atom.

***

[10]
Material: Sc2PRh
Method: DFT, GGA-PBEsol
State: optimized geometry

Cell: 3.4229 4.3600 4.3600 Å, 90.00 90.00 90.00°
Positions (direct):
P (0.5000, 0.5000, 0.5000)
Sc (0.0000, 0.0000, 0.5000)
Sc (0.0000, 0.5000, 0.0000)
Rh (0.5000, 0.0000, 0.0000)

Output
As for the crystal system: tetragonal. For the energy of formation from the pure elements, the calculation gives -0.9829 eV per atom.

***

[11]
Material: PtCl3
Method: DFT, GGA-PBEsol
State: optimized geometry

Cell: 2.8753 3.2362 8.6920 Å, 90.00 90.00 90.00°
Each line ends with the local moment (μB).
Positions (direct):
Cl (0.5000, 0.5000, 0.1764)  0.07
Cl (0.0000, 0.0000, 0.5000)  0.01
Cl (0.5000, 0.5000, 0.8236)  0.07
Pt (0.0000, 0.0000, 0.0000)  0.21

Output
As for the crystal system: orthorhombic. Its formation energy (no corrections) is 0.5295 eV/atom.

***

[12]
Material: Ba2TaTe
Method: DFT, GGA-PBEsol
State: optimized geometry

Cell: 4.3595 4.3595 9.7040 Å, 77.02 77.02 60.00°
Each line ends with the local moment (μB).
Positions (direct):
Ba (0.2545, 0.2545, 0.2366)  0.09
Ba (0.7455, 0.7455, 0.7634)  0.09
Ta (0.5000, 0.5000, 0.5000)  1.79
Te (0.0000, 0.0000, 0.0000)  0.02

Output
As for the crystal system: trigonal. Its formation energy (no corrections) is 0.4130 eV/atom.

***

[13]
Material: TaAs2P
Method: DFT, GGA-PBEsol
State: optimized geometry

Cell: 3.3566 4.5370 5.3811 Å, 93.27 90.00 111.71°
Positions (direct):
P (0.4601, 0.9203, 0.4092)
Ta (0.7450, 0.4899, 0.3306)
As (0.2494, 0.4988, 0.7029)
As (0.0455, 0.0910, 0.0573)

Output
As for the crystal system: monoclinic. For the energy of formation from the pure elements, the calculation gives -0.1159 eV per atom.

***

[14]
Material: Mg3BiSe
Method: DFT, GGA-PBEsol
State: optimized geometry

Cell: 5.0645 5.0645 5.0645 Å, 90.00 90.00 90.00°
Positions (direct):
Bi (0.5000, 0.5000, 0.5000)
Mg (0.0000, 0.0000, 0.5000)
Mg (0.5000, 0.0000, 0.0000)
Mg (0.0000, 0.5000, 0.0000)
Se (0.0000, 0.0000, 0.0000)

Output
As for the crystal system: cubic. Its formation energy (no corrections) is -0.2301 eV/atom.

***

[15]
Material: Zn2CrCl
Method: DFT, GGA-PBEsol
State: optimized geometry

Cell: 3.5781 3.5781 5.8288 Å, 107.87 107.87 90.00°
Each line ends with the local moment (μB).
Positions (direct):
Zn (0.2500, 0.7500, 0.5000)  -0.01
Zn (0.7500, 0.2500, 0.5000)  -0.01
Cl (0.5000, 0.5000, 0.0000)  0.03
Cr (0.0000, 0.0000, 0.0000)  3.81

Output
As for the crystal system: tetragonal. Its formation energy (no corrections) is 0.2549 eV/atom.

***

[16]
Material: LaAl3H
Method: DFT, GGA-PBEsol
State: optimized geometry

Cell: 5.8002 5.8002 5.8002 Å, 90.00 90.00 90.00°
Each line ends with the local moment (μB).
Positions (direct):
Al (0.5000, 0.0000, 0.0000)  0.01
Al (0.0000, 0.5000, 0.0000)  0.01
Al (0.0000, 0.0000, 0.5000)  0.01
H (0.5000, 0.5000, 0.5000)  0.32
La (0.0000, 0.0000, 0.0000)  0.07

Output
Its calculated total energy is -2.44 eV/atom. As for the crystal system: cubic.

***

[17]
Material: Mg2ReRu
Method: DFT, GGA-PBEsol
State: optimized geometry

Cell: 3.7525 3.7525 4.3691 Å, 90.00 90.00 90.00°
Positions (direct):
Mg (0.5000, 0.0000, 0.0000)
Mg (0.0000, 0.5000, 0.0000)
Re (0.5000, 0.5000, 0.5000)
Ru (0.0000, 0.0000, 0.5000)

Output
As for the crystal system: tetragonal. For the energy of formation from the pure elements, the calculation gives 0.3977 eV per atom.

***

[18]
Material: Zr2GaCo3
Method: DFT, GGA-PBEsol
State: optimized geometry

Cell: 5.0018 5.0018 7.6315 Å, 90.00 90.00 120.00°
Positions (direct):
Zr (0.6667, 0.3333, 0.5618)
Zr (0.3333, 0.6667, 0.0618)
Zr (0.3333, 0.6667, 0.4382)
Zr (0.6667, 0.3333, 0.9382)
Co (0.1722, 0.8278, 0.7500)
Co (0.1722, 0.3445, 0.7500)
Co (0.3445, 0.1722, 0.2500)
Co (0.6555, 0.8278, 0.7500)
Co (0.8278, 0.6555, 0.2500)
Co (0.8278, 0.1722, 0.2500)
Ga (0.0000, 0.0000, 0.0000)
Ga (0.0000, 0.0000, 0.5000)

Output
As for the crystal system: hexagonal. For the energy of formation from the pure elements, the calculation gives -0.4794 eV per atom.

***

[19]
Material: Cu3IrBr
Method: DFT, GGA-PBEsol
State: optimized geometry

Cell: 4.3821 4.3821 4.3821 Å, 90.00 90.00 90.00°
Positions (direct):
Ir (0.5000, 0.5000, 0.5000)
Br (0.0000, 0.0000, 0.0000)
Cu (0.5000, 0.0000, 0.0000)
Cu (0.0000, 0.0000, 0.5000)
Cu (0.0000, 0.5000, 0.0000)

Output
As for the crystal system: cubic. Its formation energy (no corrections) is 1.4653 eV/atom.

***

[20]
Material: ReRhI3
Method: DFT, GGA-PBEsol
State: optimized geometry

Cell: 5.2851 5.2851 5.2851 Å, 90.00 90.00 90.00°
Each line ends with the local moment (μB).
Positions (direct):
I (0.5000, 0.0000, 0.0000)  0.07
I (0.0000, 0.0000, 0.5000)  0.07
I (0.0000, 0.5000, 0.0000)  0.07
Re (0.5000, 0.5000, 0.5000)  4.14
Rh (0.0000, 0.0000, 0.0000)  -0.06

Output
As for the crystal system: cubic. Its formation energy (no corrections) is 1.3440 eV/atom.